Record 1
Entry from the Alexandria database: a relaxed structure of Hg2BiAs2 (PBE-GGA).

Properties
E (eV/atom): -2.514
Space group: No. 139
D(E_F) (states/eV per atom): 0.41
DFT formation energy (eV/atom): 0.24

abc: 9.380 9.380 9.380
angles: 156.74 156.74 33.13
Atoms (fractional coordinates):
1 Hg 0.108 0.108 0.000
2 Hg 0.892 0.892 0.000
3 Bi 0.500 0.500 0.000
4 As 0.250 0.750 0.500
5 As 0.750 0.250 0.500

Record 2
Entry from the Alexandria database: a relaxed structure of Hg12Bi5As3 (PBE-GGA).

Properties
E (eV/atom): -1.626
Space group: No. 230
D(E_F) (states/eV per atom): 0.70
DFT formation energy (eV/atom): 0.22

abc: 14.867 14.867 14.867
angles: 109.47 109.47 109.47
Atoms (fractional coordinates):
1 Hg 0.060 0.629 0.386
2 Hg 0.060 0.931 0.675
3 Hg 0.069 0.243 0.129
4 Hg 0.069 0.325 0.940
5 Hg 0.114 0.743 0.675
6 Hg 0.114 0.871 0.440
7 Hg 0.129 0.069 0.243
8 Hg 0.129 0.560 0.886
9 Hg 0.175 0.243 0.614
10 Hg 0.175 0.431 0.560
11 Hg 0.243 0.129 0.069
12 Hg 0.243 0.614 0.175
13 Hg 0.257 0.325 0.886
14 Hg 0.257 0.431 0.371
15 Hg 0.325 0.886 0.257
16 Hg 0.325 0.940 0.069
17 Hg 0.371 0.257 0.431
18 Hg 0.371 0.614 0.940
19 Hg 0.386 0.060 0.629
20 Hg 0.386 0.825 0.757
21 Hg 0.431 0.371 0.257
22 Hg 0.431 0.560 0.175
23 Hg 0.440 0.114 0.871
24 Hg 0.440 0.825 0.569
25 Hg 0.560 0.175 0.431
26 Hg 0.560 0.886 0.129
27 Hg 0.569 0.440 0.825
28 Hg 0.569 0.629 0.743
29 Hg 0.614 0.175 0.243
30 Hg 0.614 0.940 0.371
31 Hg 0.629 0.386 0.060
32 Hg 0.629 0.743 0.569
33 Hg 0.675 0.060 0.931
34 Hg 0.675 0.114 0.743
35 Hg 0.743 0.569 0.629
36 Hg 0.743 0.675 0.114
37 Hg 0.757 0.386 0.825
38 Hg 0.757 0.871 0.931
39 Hg 0.825 0.569 0.440
40 Hg 0.825 0.757 0.386
41 Hg 0.871 0.440 0.114
42 Hg 0.871 0.931 0.757
43 Hg 0.886 0.129 0.560
44 Hg 0.886 0.257 0.325
45 Hg 0.931 0.675 0.060
46 Hg 0.931 0.757 0.871
47 Hg 0.940 0.069 0.325
48 Hg 0.940 0.371 0.614
49 Bi 0.000 0.000 0.000
50 Bi 0.000 0.000 0.500
51 Bi 0.000 0.500 0.000
52 Bi 0.000 0.500 0.500
53 Bi 0.125 0.750 0.875
54 Bi 0.125 0.875 0.250
55 Bi 0.250 0.125 0.875
56 Bi 0.250 0.625 0.375
57 Bi 0.375 0.250 0.625
58 Bi 0.375 0.625 0.750
59 Bi 0.500 0.000 0.000
60 Bi 0.500 0.000 0.500
61 Bi 0.500 0.500 0.000
62 Bi 0.500 0.500 0.500
63 Bi 0.625 0.375 0.250
64 Bi 0.625 0.750 0.375
65 Bi 0.750 0.375 0.625
66 Bi 0.750 0.875 0.125
67 Bi 0.875 0.125 0.750
68 Bi 0.875 0.250 0.125
69 As 0.125 0.250 0.375
70 As 0.125 0.375 0.750
71 As 0.250 0.375 0.125
72 As 0.250 0.875 0.625
73 As 0.375 0.125 0.250
74 As 0.375 0.750 0.125
75 As 0.625 0.250 0.875
76 As 0.625 0.875 0.750
77 As 0.750 0.125 0.375
78 As 0.750 0.625 0.875
79 As 0.875 0.625 0.250
80 As 0.875 0.750 0.625

Record 3
Entry from the Alexandria database: a relaxed structure of HgBiAs (PBE-GGA).

Properties
E (eV/atom): -2.760
Space group: No. 107
D(E_F) (states/eV per atom): 0.42
DFT formation energy (eV/atom): 0.18

abc: 6.900 6.900 6.900
angles: 149.17 149.17 44.17
Atoms (fractional coordinates):
1 Hg 0.000 0.000 0.000
2 Bi 0.708 0.708 0.000
3 As 0.317 0.317 0.000